Entry from the Alexandria database: a relaxed Zr2GeSe2 crystal (GGA-PBE).

Calculated values
SG = I4/mmm (139)
M_tot = 0.000 μB/atom
Raw formation energy = -0.452 eV/atom

Cell lengths 3.9799, 3.9799, 7.3624 Å; angles 74.32, 74.32, 90.00 degrees
Atoms (fractional coordinates):
Ge1 0.0000 0.0000 0.0000
Se1 0.7500 0.2500 0.5000
Se2 0.2500 0.7500 0.5000
Zr1 0.3900 0.3900 0.2200
Zr2 0.6100 0.6100 0.7800